Entry from the Alexandria database: a geometry-optimized ZnCoPb structure (PBE-GGA).

Summary:
Final energy = -10.9 eV for the cell shown
Spin magnetization = 0.98 μB per formula unit
Formation energy from the elements = 0.399 eV/atom
Relative energy among the computed polymorphs = 0.37 eV per formula unit

The structure in CIF format:
```
data_ZnCoPb
_chemical_formula_sum 'Zn1 Co1 Pb1'
_space_group_name_H-M_alt 'P -6 m 2'
_space_group_IT_number 187
_space_group_name_Hall 'P -6 2'
_cell_length_a 4.2552
_cell_length_b 4.2552
_cell_length_c 3.4760
_cell_angle_alpha 90.00
_cell_angle_beta 90.00
_cell_angle_gamma 120.00
loop_
_atom_site_label
_atom_site_type_symbol
_atom_site_fract_x
_atom_site_fract_y
_atom_site_fract_z
Zn1 Zn 0.0000 0.0000 0.0000
Co1 Co 0.6667 0.3333 0.0000
Pb1 Pb 0.3333 0.6667 0.5000
```

Entry from the Alexandria database: a geometry-optimized RePtAu2 structure (PBE-GGA).

Summary:
Final energy = -71.8 eV for the cell shown
Spin magnetization = 0.03 μB per formula unit
Formation energy from the elements = 0.276 eV/atom
Relative energy among the computed polymorphs = 0.62 eV per formula unit

The structure in CIF format:
```
data_RePtAu2
_chemical_formula_sum 'Re3 Pt3 Au6'
_space_group_name_H-M_alt 'R -3 m'
_space_group_IT_number 166
_space_group_name_Hall '-R 3 2"'
_cell_length_a 2.8500
_cell_length_b 2.8500
_cell_length_c 28.0085
_cell_angle_alpha 90.00
_cell_angle_beta 90.00
_cell_angle_gamma 120.00
loop_
_atom_site_label
_atom_site_type_symbol
_atom_site_fract_x
_atom_site_fract_y
_atom_site_fract_z
Re1 Re 0.0000 0.0000 0.0000
Pt1 Pt 0.0000 0.0000 0.5000
Au1 Au 0.0000 0.0000 0.2516
```

Entry from the Alexandria database: a geometry-optimized LiURu2 structure (PBE-GGA).

Summary:
Final energy = -32.7 eV for the cell shown
Spin magnetization = 0.00 μB per formula unit
Formation energy from the elements = -0.246 eV/atom

The structure in CIF format:
```
data_LiURu2
_chemical_formula_sum 'Li1 U1 Ru2'
_space_group_name_H-M_alt 'P 4/m m m'
_space_group_IT_number 123
_space_group_name_Hall '-P 4 2'
_cell_length_a 4.154
_cell_length_b 4.154
_cell_length_c 3.591
_cell_angle_alpha 90.00
_cell_angle_beta 90.00
_cell_angle_gamma 90.00
loop_
_atom_site_label
_atom_site_type_symbol
_atom_site_fract_x
_atom_site_fract_y
_atom_site_fract_z
Li1 Li 0.000 0.000 0.000
U1 U 0.500 0.500 0.000
Ru1 Ru 0.000 0.500 0.500
```

Entry from the Alexandria database: a geometry-optimized CdGa2Te structure (PBE-GGA).

Summary:
Final energy = -28.2 eV for the cell shown
Spin magnetization = 0.00 μB per formula unit
Relative energy among the computed polymorphs = 0.57 eV per formula unit

The structure in CIF format:
```
data_CdGa2Te
_chemical_formula_sum 'Cd3 Ga6 Te3'
_space_group_name_H-M_alt 'R -3 m'
_space_group_IT_number 166
_space_group_name_Hall '-R 3 2"'
_cell_length_a 3.4100
_cell_length_b 3.4100
_cell_length_c 31.2231
_cell_angle_alpha 90.00
_cell_angle_beta 90.00
_cell_angle_gamma 120.00
loop_
_atom_site_label
_atom_site_type_symbol
_atom_site_fract_x
_atom_site_fract_y
_atom_site_fract_z
Cd1 Cd 0.0000 0.0000 0.0000
Ga1 Ga 0.0000 0.0000 0.0934
Te1 Te 0.0000 0.0000 0.5000
```

Entry from the Alexandria database: a geometry-optimized Ce2Zn2CoGe4 structure (PBE-GGA).

Summary:
Final energy = -88.5 eV for the cell shown
Spin magnetization = 1.07 μB per formula unit
Formation energy from the elements = -0.474 eV/atom

The structure in CIF format:
```
data_Ce2Zn2CoGe4
_chemical_formula_sum 'Ce4 Zn4 Co2 Ge8'
_space_group_name_H-M_alt 'I 4/m m m'
_space_group_IT_number 139
_space_group_name_Hall '-I 4 2'
_cell_length_a 6.210
_cell_length_b 6.210
_cell_length_c 8.640
_cell_angle_alpha 90.00
_cell_angle_beta 90.00
_cell_angle_gamma 90.00
loop_
_atom_site_label
_atom_site_type_symbol
_atom_site_fract_x
_atom_site_fract_y
_atom_site_fract_z
Ce1 Ce 0.000 0.500 0.250
Zn1 Zn 0.000 0.000 0.215
Co1 Co 0.000 0.000 0.500
Ge1 Ge 0.228 0.228 0.000
```

Entry from the Alexandria database: a geometry-optimized Zr2BeGe structure (PBE-GGA).

Summary:
Final energy = -55.7 eV for the cell shown
Spin magnetization = 0.00 μB per formula unit
Formation energy from the elements = -0.606 eV/atom

The structure in CIF format:
```
data_Zr2BeGe
_chemical_formula_sum 'Zr4 Be2 Ge2'
_space_group_name_H-M_alt 'P 1 21/m 1'
_space_group_IT_number 11
_cell_length_a 5.349
_cell_length_b 3.668
_cell_length_c 7.619
_cell_angle_alpha 90.00
_cell_angle_beta 109.91
_cell_angle_gamma 90.00
loop_
_space_group_symop_operation_xyz
'x,y,z'
'-x,-y,-z'
'-x,y+1/2,-z'
'x,-y+1/2,z'
loop_
_atom_site_label
_atom_site_type_symbol
_atom_site_fract_x
_atom_site_fract_y
_atom_site_fract_z
Zr1 Zr 0.210 0.250 0.422
Zr2 Zr 0.270 0.750 0.067
Be1 Be 0.142 0.250 0.785
Ge1 Ge 0.357 0.750 0.716
```